A plane-wave DFT calculation with GGA+U was carried out for a geometry-optimized SrFe2Co2O7 structure.

Cell: 4.0715 4.1307 8.5065 Å, 103.93 103.85 90.00°
Closest atoms and distances in Å follow each position.
Positions (direct):
Sr1 0.0002 0.0004 0.0003  12 O 2.89-2.92
Fe1 0.3822 0.3824 0.7644  6 O 1.88-2.07
Fe2 0.6178 0.6176 0.2356  6 O 1.88-2.07
Co1 0.2519 0.7523 0.5037  6 O 1.92-2.07
Co2 0.7481 0.2476 0.4962  6 O 1.92-2.07
O1 0.3720 0.8727 0.7439  1 Co 1.92, 2 Fe 2.07
O2 0.7432 0.7440 0.4864  1 Fe 2.01, 4 Co 2.04-2.07
O3 0.1282 0.6261 0.2564  1 Co 1.98, 2 Fe 2.04
O4 0.6280 0.1272 0.2559  1 Co 1.92, 2 Fe 2.07
O5 0.2568 0.2559 0.5136  1 Fe 2.01, 4 Co 2.04-2.07
O6 0.8717 0.3738 0.7435  1 Co 1.98, 2 Fe 2.04
O7 0.5000 0.4997 0.0000  2 Fe 1.88

Computed properties:
- Space group: C2/m (12)
- Calculated total energy: -0.4578 Ry/atom
- V: 11.21 Å³ per atom